Entry 1:
A PBEsol-optimized structure of SrIr2Pb. Source: Alexandria, functional SCAN.

abc: 3.257 3.257 7.606
angles: 90.00 90.00 90.00
Space group P4/mmm (No. 123)
One atom of each set of equivalent atoms:
Sr  0.000  0.000  0.000 x1
Ir  0.500  0.500  0.289 x2
Pb  0.000  0.000  0.500 x1

ΔE_f: 0.377 eV/atom
Spin magnetization: 0.00 μB/f.u.

Entry 2:
A PBEsol-optimized structure of Y4RuAu. Source: Alexandria, functional SCAN.

abc: 8.217 8.217 8.217
angles: 90.00 90.00 90.00
Space group F-43m (No. 216)
One atom of each set of equivalent atoms:
Y  0.124  0.124  0.124 x16
Ru  0.250  0.250  0.750 x4
Au  0.000  0.000  0.500 x4

ΔE_f: 0.627 eV/atom
Spin magnetization: 0.86 μB/f.u.

Entry 3:
A PBEsol-optimized structure of In3PdBr. Source: Alexandria, functional SCAN.

abc: 5.140 5.140 5.140
angles: 90.00 90.00 90.00
Space group Pm-3m (No. 221)
One atom of each set of equivalent atoms:
In  0.000  0.000  0.500 x3
Pd  0.000  0.000  0.000 x1
Br  0.500  0.500  0.500 x1

Formation energy from raw total energies: -11.83 kcal/mol of atoms
Spin magnetization: 0.00 μB/f.u.
E above lowest polymorph: 0.0 meV/atom

Entry 4:
A PBEsol-optimized structure of HfRuAu2. Source: Alexandria, functional SCAN.

abc: 6.451 6.451 6.451
angles: 90.00 90.00 90.00
Space group Fm-3m (No. 225)
One atom of each set of equivalent atoms:
Hf  0.000  0.000  0.000 x4
Ru  0.000  0.000  0.500 x4
Au  0.250  0.250  0.250 x8

ΔE_f: -0.203 eV/atom
Spin magnetization: 0.00 μB/f.u.

Entry 5:
A PBEsol-optimized structure of BaSn3Pt. Source: Alexandria, functional SCAN.

abc: 4.884 4.884 11.061
angles: 90.00 90.00 90.00
Space group I4mm (No. 107)
One atom of each set of equivalent atoms:
Ba  0.000  0.000  0.000 x2
Sn  0.000  0.000  0.585 x2
Sn  0.000  0.500  0.249 x4
Pt  0.000  0.000  0.348 x2

ΔE_f: -0.779 eV/atom
Spin magnetization: 0.00 μB/f.u.

Entry 6:
A PBEsol-optimized structure of InSbP2S. Source: Alexandria, functional SCAN.

abc: 4.932 4.932 4.848
angles: 90.00 90.00 90.00
Space group P4/mmm (No. 123)
One atom of each set of equivalent atoms:
In  0.000  0.000  0.000 x1
Sb  0.500  0.500  0.500 x1
P  0.000  0.500  0.000 x2
S  0.000  0.000  0.500 x1

Formation energy from raw total energies: 21.65 kcal/mol of atoms
Spin magnetization: 0.00 μB/f.u.

What is the formula in the fourth record?
HfRuAu2

Which formula does entry 4 have?
HfRuAu2